VASP calculation (PBE+U) on a relaxed NiAg4F7 crystal.

a = 3.8075 Å, b = 6.8386 Å, c = 8.7791 Å
α = 122.38°, β = 102.52°, γ = 90.00°
Fractional positions:
Ni 0.0000 0.0000 0.0000
Ag 0.4278 0.5405 0.8555
Ag 0.5722 0.4595 0.1445
Ag 0.2910 0.8122 0.5820
Ag 0.7090 0.1878 0.4180
F 0.1438 0.2456 0.2876
F 0.8562 0.7544 0.7124
F 0.9827 0.2692 0.9653
F 0.0173 0.7308 0.0347
F 0.7106 0.7995 0.4213
F 0.5000 0.0000 0.0000
F 0.2894 0.2005 0.5787

Output
The raw total energy comes out at -3.525 eV per atom.